No. 1
KCdRu2, relaxed, DFT GGA-PBEsol; theoretical density = 7.14 g/cm³; total magnetization = 0.00 μB/atom; E_form = 0.497 eV per atom; VASP energy = -20.69 eV for the cell shown
1.0
-2.204 1.245 1.149
-0.891 -3.096 1.647
4.542 2.125 6.451
K Ru Cd
1 2 1
direct
0.500 0.500 0.774
0.001 0.000 0.084
0.500 0.500 0.211
0.999 0.000 0.432

No. 2
K2Cd2S, relaxed, DFT GGA-PBEsol; theoretical density = 3.16 g/cm³; formation energy without anion corrections = -0.39 eV per formula unit; total magnetization = 0.00 μB/atom; VASP energy = -9.44 eV for the cell shown
1.0
6.155 0.030 0.046
-2.547 5.603 -0.046
-2.547 -2.341 5.091
S Cd K
1 2 2
direct
0.000 0.000 0.000
0.000 0.675 0.675
0.000 0.325 0.325
0.500 0.250 0.750
0.500 0.750 0.250

No. 3
KCdS3, relaxed, DFT GGA-PBEsol; theoretical density = 2.64 g/cm³; formation energy without anion corrections = 5.59 eV per formula unit; total magnetization = 0.67 μB/atom; VASP energy = -9.89 eV for the cell shown
1.0
-1.521 4.406 2.682
-4.941 -0.440 -2.078
-1.483 -3.052 4.173
K S Cd
1 3 1
direct
0.000 0.000 0.000
0.000 0.000 0.500
0.000 0.500 0.000
0.500 0.000 0.000
0.500 0.500 0.500

No. 4
K2CdSnS4, relaxed, DFT GGA-PBEsol; theoretical density = 3.30 g/cm³; formation energy without anion corrections = -6.83 eV per formula unit; total magnetization = 0.00 μB/atom; VASP energy = -128.36 eV for the cell shown
1.0
-5.499 5.177 -1.659
-5.195 -4.211 3.881
1.444 7.551 12.716
S Cd K Sn
16 4 8 4
direct
0.263 0.867 0.054
0.921 0.578 0.228
0.104 0.896 0.750
0.578 0.921 0.728
0.079 0.422 0.772
0.867 0.263 0.554
0.429 0.571 0.250
0.571 0.429 0.750
0.365 0.271 0.556
0.896 0.104 0.250
0.133 0.737 0.446
0.737 0.133 0.946
0.729 0.635 0.944
0.271 0.365 0.056
0.635 0.729 0.444
0.422 0.079 0.272
0.822 0.903 0.838
0.097 0.178 0.662
0.178 0.097 0.162
0.903 0.822 0.338
0.865 0.685 0.622
0.683 0.349 0.116
0.135 0.315 0.378
0.317 0.651 0.884
0.651 0.317 0.384
0.349 0.683 0.616
0.315 0.135 0.878
0.685 0.865 0.122
0.602 0.198 0.645
0.802 0.398 0.855
0.198 0.602 0.145
0.398 0.802 0.355

No. 5
KCdSb2, relaxed, DFT GGA-PBEsol; theoretical density = 5.61 g/cm³; formation energy without anion corrections = -0.45 eV per formula unit; total magnetization = 0.00 μB/atom; VASP energy = -11.89 eV for the cell shown
1.0
4.006 0.000 0.000
0.000 4.006 0.000
0.000 0.000 7.290
K Cd Sb
1 1 2
direct
0.500 0.500 0.500
0.500 0.500 0.000
0.000 0.000 0.809
0.000 0.000 0.191

No. 6
KCdSb, relaxed, DFT GGA-PBEsol; theoretical density = 4.42 g/cm³; formation energy without anion corrections = -0.34 eV per formula unit; total magnetization = 0.00 μB/atom; VASP energy = -7.23 eV for the cell shown
1.0
-1.030 -3.644 1.589
3.975 -1.111 0.028
-0.879 4.643 4.771
Cd Sb K
1 1 1
direct
0.937 0.937 0.874
0.392 0.392 0.783
0.672 0.672 0.343